# Y3WCl2O6 | Alexandria | PBE+U | relaxed
# Crystal system = monoclinic
# Size of the total moment = 1.00 μB/f.u.
# Electronic total energy = -0.55625 Ry/atom
data_Y3WCl2O6
_chemical_formula_sum 'Y3 W1 Cl2 O6'
_cell_length_a 5.474
_cell_length_b 6.576
_cell_length_c 6.664
_cell_angle_alpha 119.57
_cell_angle_beta 81.15
_cell_angle_gamma 90.00
_space_group_name_H-M_alt 'P 1'
_space_group_IT_number 1
_space_group_name_Hall 'P 1'
loop_
_atom_site_label
_atom_site_type_symbol
_atom_site_fract_x
_atom_site_fract_y
_atom_site_fract_z
Y1 Y 0.000 0.500 0.000
Y2 Y 0.500 0.500 0.500
Y3 Y 0.500 0.000 0.500
W1 W 0.500 0.000 0.000
Cl1 Cl 0.147 0.706 0.412
Cl2 Cl 0.853 0.294 0.588
O1 O 0.701 0.299 0.119
O2 O 0.299 0.701 0.881
O3 O 0.667 0.833 0.665
O4 O 0.333 0.167 0.335
O5 O 0.299 0.180 0.881
O6 O 0.701 0.820 0.119